Density functional theory data (PBE) for a geometry-optimized VCu structure.

Results
crystal system: hexagonal
magnetic moment: 0.000 μB per atom
density of states at the Fermi level: 0.818 states/eV per atom
formation enthalpy at 0 K: 0.469 eV per atom

Unit cell a=6.957 b=6.957 c=4.006 alpha=90.00 beta=90.00 gamma=120.00
Element x y z (fractional)
1 V 0.122 0.491 0.250
2 V 0.369 0.878 0.250
3 V 0.491 0.369 0.750
4 V 0.509 0.631 0.250
5 V 0.631 0.122 0.750
6 V 0.878 0.509 0.750
7 Cu 0.059 0.240 0.750
8 Cu 0.181 0.941 0.750
9 Cu 0.240 0.181 0.250
10 Cu 0.760 0.819 0.750
11 Cu 0.819 0.059 0.250
12 Cu 0.941 0.760 0.250